The following is a GGA-PBE calculation of SbRu2W after structural relaxation, from Alexandria via LeMat-Bulk.

The energy is -0.6390 Ry per atom. The formation energy without anion corrections comes out at 20.56 kJ per mole of atoms.

Unit cell a=4.910 b=4.910 c=4.689 alpha=100.03 beta=100.03 gamma=35.64
Fractional positions:
Sb: 0.000 0.000 0.000
Ru: 0.501 0.501 0.503
Ru: 0.747 0.747 0.188
W: 0.238 0.238 0.661